[1]
{"formula": "AcLuIr", "functional": "PBE", "state": "optimized geometry", "total_energy_ev_per_atom": -6.2872, "e_above_lowest_polymorph_ev_per_atom": 0.091, "sg": "I4mm, No. 107", "ef_kcal_per_mol_atoms": -10.54, "lattice": [[3.596, 0.000, 0.000], [0.000, 3.596, 0.000], [-1.798, -1.798, 6.510]], "species": ["Ac", "Ir", "Lu"], "fractional_positions": [[0.032, 0.032, 0.064], [0.681, 0.681, 0.363], [0.287, 0.287, 0.574]]}



[2]
{"formula": "AcLuIr", "functional": "PBE", "state": "optimized geometry", "total_energy_ev_per_atom": -6.3779, "e_above_lowest_polymorph_ev_per_atom": 0.000, "sg": "P3m1, No. 156", "ef_kcal_per_mol_atoms": -12.63, "lattice": [[-1.170, 3.538, -5.060], [1.518, -3.081, -2.505], [-4.129, 0.078, 1.009]], "species": ["Ir", "Lu", "Ac"], "fractional_positions": [[0.310, 0.333, 0.667], [0.115, 0.000, 0.000], [0.575, 0.667, 0.333]]}



[3]
{"formula": "AcLuIr4", "functional": "PBE", "state": "optimized geometry", "total_energy_ev_per_atom": -7.9735, "sg": "F-43m, No. 216", "ef_kcal_per_mol_atoms": -14.48, "lattice": [[5.451, 0.000, 0.000], [2.726, 4.721, 0.000], [2.726, 1.574, 4.451]], "species": ["Ac", "Lu", "Ir", "Ir", "Ir", "Ir"], "fractional_positions": [[0.250, 0.250, 0.250], [0.000, 0.000, 0.000], [0.626, 0.626, 0.123], [0.626, 0.626, 0.626], [0.123, 0.626, 0.626], [0.626, 0.123, 0.626]]}



[4]
{"formula": "AcLuIrPb", "functional": "PBE", "state": "optimized geometry", "total_energy_ev_per_atom": -5.6083, "sg": "F-43m, No. 216", "ef_kcal_per_mol_atoms": -7.12, "lattice": [[-0.924, 5.139, -1.068], [-4.578, 2.258, 1.530], [-0.017, 3.580, 3.947]], "species": ["Ir", "Pb", "Ac", "Lu"], "fractional_positions": [[0.000, 0.000, 0.000], [0.500, 0.500, 0.500], [0.250, 0.250, 0.250], [0.750, 0.750, 0.750]]}



[5]
{"formula": "AcLuIrPd", "functional": "PBE", "state": "optimized geometry", "total_energy_ev_per_atom": -6.3601, "sg": "F-43m, No. 216", "ef_kcal_per_mol_atoms": -15.89, "lattice": [[-1.463, -4.708, 1.195], [1.935, -3.968, -2.498], [3.225, -3.141, 2.337]], "species": ["Lu", "Pd", "Ir", "Ac"], "fractional_positions": [[0.750, 0.750, 0.750], [0.500, 0.500, 0.500], [0.000, 0.000, 0.000], [0.250, 0.250, 0.250]]}



[6]
{"formula": "AcLuIrPt", "functional": "PBE", "state": "optimized geometry", "total_energy_ev_per_atom": -6.6910, "sg": "F-43m, No. 216", "ef_kcal_per_mol_atoms": -18.64, "lattice": [[5.062, 0.000, 0.000], [2.531, 4.384, 0.000], [2.531, 1.461, 4.133]], "species": ["Ir", "Lu", "Pt", "Ac"], "fractional_positions": [[0.750, 0.750, 0.750], [0.500, 0.500, 0.500], [0.250, 0.250, 0.250], [0.000, 0.000, 0.000]]}



[7]
{"formula": "AcLuIrRh", "functional": "PBE", "state": "optimized geometry", "total_energy_ev_per_atom": -6.8400, "sg": "F-43m, No. 216", "ef_kcal_per_mol_atoms": -14.52, "lattice": [[-0.191, -2.734, 4.194], [-2.208, -4.498, -0.039], [2.771, -4.154, 0.411]], "species": ["Lu", "Rh", "Ac", "Ir"], "fractional_positions": [[0.500, 0.500, 0.500], [0.750, 0.750, 0.750], [0.000, 0.000, 0.000], [0.250, 0.250, 0.250]]}



[8]
{"formula": "AcLuZnIr", "functional": "PBE", "state": "optimized geometry", "total_energy_ev_per_atom": -5.1245, "sg": "F-43m, No. 216", "ef_kcal_per_mol_atoms": -9.99, "lattice": [[-1.513, -3.430, 3.484], [2.906, -4.095, 0.989], [2.467, -0.368, 4.469]], "species": ["Ir", "Ac", "Zn", "Lu"], "fractional_positions": [[0.500, 0.500, 0.500], [0.250, 0.250, 0.250], [0.000, 0.000, 0.000], [0.750, 0.750, 0.750]]}



[9]
{"formula": "AcMg11Ir", "functional": "PBE", "state": "optimized geometry", "total_energy_ev_per_atom": -2.4852, "sg": "C2/m, No. 12", "ef_kcal_per_mol_atoms": -3.19, "lattice": [[5.248, -0.028, 2.186], [2.540, 7.291, 1.058], [-0.152, -0.014, 7.757]], "species": ["Mg", "Mg", "Mg", "Mg", "Ac", "Mg", "Mg", "Mg", "Mg", "Mg", "Mg", "Mg", "Ir"], "fractional_positions": [[0.033, 0.634, 0.334], [0.967, 0.366, 0.666], [0.633, 0.366, 0.334], [0.500, 0.000, 0.500], [0.000, 0.000, 0.000], [0.495, 0.771, 0.207], [0.000, 0.500, 0.000], [0.000, 0.000, 0.500], [0.505, 0.229, 0.793], [0.298, 0.229, 0.207], [0.367, 0.634, 0.666], [0.702, 0.771, 0.793], [0.500, 0.500, 0.000]]}



[10]
{"formula": "AcMg3Ir2", "functional": "PBE", "state": "optimized geometry", "total_energy_ev_per_atom": -4.8412, "e_above_lowest_polymorph_ev_per_atom": 0.019, "sg": "C2/m, No. 12", "ef_kcal_per_mol_atoms": -9.35, "lattice": [[4.206, 0.000, 0.000], [-2.103, 8.517, -2.524], [0.000, 0.291, 10.667]], "species": ["Ir", "Mg", "Ir", "Mg", "Mg", "Ac", "Ir", "Mg", "Mg", "Mg", "Ac", "Mg", "Ir", "Mg", "Ir", "Mg", "Ir", "Ac"], "fractional_positions": [[0.469, 0.937, 0.211], [0.323, 0.646, 0.022], [0.799, 0.597, 0.855], [0.785, 0.569, 0.597], [0.677, 0.354, 0.978], [0.000, 0.000, 0.000], [0.637, 0.274, 0.471], [0.371, 0.742, 0.780], [0.629, 0.258, 0.220], [0.951, 0.901, 0.658], [0.843, 0.687, 0.288], [0.049, 0.099, 0.342], [0.363, 0.726, 0.529], [0.215, 0.431, 0.403], [0.531, 0.063, 0.789], [0.500, 0.000, 0.500], [0.201, 0.403, 0.145], [0.157, 0.313, 0.712]]}



[11]
{"formula": "Ac4MgIr", "functional": "PBE", "state": "optimized geometry", "total_energy_ev_per_atom": -4.5417, "e_above_lowest_polymorph_ev_per_atom": 0.272, "sg": "P4/mmm, No. 123", "ef_kcal_per_mol_atoms": -1.39, "lattice": [[5.311, 0.000, 0.000], [0.000, 5.311, 0.000], [0.000, 0.000, 8.293]], "species": ["Mg", "Ir", "Ac", "Ac", "Ac", "Ac"], "fractional_positions": [[0.000, 0.000, 0.000], [0.500, 0.500, 0.500], [0.500, 0.000, 0.716], [0.000, 0.500, 0.284], [0.000, 0.500, 0.716], [0.500, 0.000, 0.284]]}



[12]
{"formula": "Ac2MgIr2", "functional": "PBE", "state": "optimized geometry", "total_energy_ev_per_atom": -6.0629, "e_above_lowest_polymorph_ev_per_atom": 0.000, "sg": "Immm, No. 71", "ef_kcal_per_mol_atoms": -12.83, "lattice": [[4.034, 0.000, 1.719], [1.211, 5.156, 2.752], [-0.158, -0.019, 5.966]], "species": ["Ac", "Ir", "Mg", "Ir", "Ac"], "fractional_positions": [[0.698, 0.802, 0.302], [0.000, 0.765, 0.735], [0.500, 0.500, 0.000], [0.000, 0.235, 0.265], [0.302, 0.198, 0.698]]}



[13]
{"formula": "Ac2Mg16Ir", "functional": "PBE", "state": "optimized geometry", "total_energy_ev_per_atom": -2.3296, "sg": "R3m, No. 160", "ef_kcal_per_mol_atoms": -2.03, "lattice": [[-7.084, 1.560, 2.884], [-3.900, -0.404, -6.749], [-2.401, -7.393, 0.713]], "species": ["Ac", "Mg", "Mg", "Mg", "Mg", "Mg", "Mg", "Mg", "Mg", "Mg", "Mg", "Mg", "Mg", "Mg", "Mg", "Ac", "Mg", "Ir", "Mg"], "fractional_positions": [[0.681, 0.681, 0.681], [0.350, 0.846, 0.350], [0.000, 0.291, 0.710], [0.710, 0.291, 0.000], [0.992, 0.522, 0.992], [0.522, 0.992, 0.992], [0.350, 0.350, 0.846], [0.073, 0.073, 0.073], [0.000, 0.710, 0.291], [0.710, 0.000, 0.291], [0.846, 0.350, 0.350], [0.660, 0.660, 0.148], [0.148, 0.660, 0.660], [0.992, 0.992, 0.522], [0.291, 0.000, 0.710], [0.337, 0.337, 0.337], [0.291, 0.710, 0.000], [0.888, 0.888, 0.888], [0.660, 0.148, 0.660]]}



[14]
{"formula": "AcMgIr", "functional": "PBE", "state": "optimized geometry", "total_energy_ev_per_atom": -5.0908, "e_above_lowest_polymorph_ev_per_atom": 0.332, "sg": "I4mm, No. 107", "ef_kcal_per_mol_atoms": -5.45, "lattice": [[-0.454, -3.488, -0.168], [0.047, -0.175, 3.517], [-5.863, 2.615, -1.555]], "species": ["Ac", "Mg", "Ir"], "fractional_positions": [[0.587, 0.587, 0.175], [0.325, 0.325, 0.650], [0.938, 0.938, 0.875]]}



[15]
{"formula": "AcMg3Ir", "functional": "PBE", "state": "optimized geometry", "total_energy_ev_per_atom": -3.7183, "e_above_lowest_polymorph_ev_per_atom": 0.141, "sg": "Pm-3m, No. 221", "ef_kcal_per_mol_atoms": -3.87, "lattice": [[-3.852, -0.034, 3.291], [1.188, -4.739, 1.342], [3.070, 1.792, 3.611]], "species": ["Ac", "Mg", "Ir", "Mg", "Mg"], "fractional_positions": [[0.500, 0.500, 0.500], [0.000, 0.000, 0.500], [0.000, 0.000, 0.000], [0.000, 0.500, 0.000], [0.500, 0.000, 0.000]]}



[16]
{"formula": "Ac4MgIr", "functional": "PBE", "state": "optimized geometry", "total_energy_ev_per_atom": -4.8132, "e_above_lowest_polymorph_ev_per_atom": 0.000, "sg": "F-43m, No. 216", "ef_kcal_per_mol_atoms": -7.65, "lattice": [[9.198, 0.000, 5.311], [3.066, 8.672, 5.311], [0.000, 0.000, 10.621]], "species": ["Mg", "Ir", "Ac", "Ac", "Ir", "Ac", "Ac", "Ac", "Mg", "Ir", "Mg", "Ac", "Ac", "Ac", "Ac", "Ac", "Ac", "Ir", "Ac", "Ac", "Ac", "Ac", "Mg", "Ac"], "fractional_positions": [[0.173, 0.482, 0.173], [0.608, 0.608, 0.175], [0.189, 0.811, 0.811], [0.405, 0.405, 0.786], [0.175, 0.608, 0.608], [0.939, 0.939, 0.561], [0.811, 0.811, 0.189], [0.811, 0.189, 0.189], [0.482, 0.173, 0.173], [0.608, 0.608, 0.608], [0.173, 0.173, 0.173], [0.939, 0.561, 0.939], [0.405, 0.786, 0.405], [0.561, 0.939, 0.939], [0.811, 0.189, 0.811], [0.189, 0.811, 0.189], [0.189, 0.189, 0.811], [0.608, 0.175, 0.608], [0.939, 0.561, 0.561], [0.786, 0.405, 0.405], [0.405, 0.405, 0.405], [0.561, 0.939, 0.561], [0.173, 0.173, 0.482], [0.561, 0.561, 0.939]]}



[17]
{"formula": "Ac2Mg6Ir3", "functional": "PBE", "state": "optimized geometry", "total_energy_ev_per_atom": -4.3248, "sg": "P-62m, No. 189", "ef_kcal_per_mol_atoms": -6.72, "lattice": [[-0.374, 0.686, -4.226], [4.183, -6.984, -1.503], [-8.247, -0.183, 0.699]], "species": ["Ir", "Mg", "Ac", "Mg", "Ac", "Mg", "Mg", "Ir", "Mg", "Ir", "Mg"], "fractional_positions": [[0.500, 0.000, 0.615], [0.000, 0.792, 0.000], [0.000, 0.667, 0.333], [0.000, 0.208, 0.208], [0.000, 0.333, 0.667], [0.000, 0.000, 0.792], [0.500, 0.712, 0.712], [0.500, 0.385, 0.385], [0.500, 0.288, 0.000], [0.500, 0.615, 0.000], [0.500, 0.000, 0.288]]}



[18]
{"formula": "Ac2Mg2Ir", "functional": "PBE", "state": "optimized geometry", "total_energy_ev_per_atom": -4.2491, "sg": "Immm, No. 71", "ef_kcal_per_mol_atoms": -4.51, "lattice": [[-3.453, -2.785, 2.807], [2.544, 1.137, 4.257], [-3.424, 3.487, 4.156]], "species": ["Mg", "Ac", "Ir", "Mg", "Ac"], "fractional_positions": [[0.758, 0.500, 0.000], [0.680, 0.180, 0.641], [0.000, 0.000, 0.000], [0.242, 0.500, 0.000], [0.320, 0.820, 0.359]]}



[19]
{"formula": "AcMg3Ir", "functional": "PBE", "state": "optimized geometry", "total_energy_ev_per_atom": -3.7281, "e_above_lowest_polymorph_ev_per_atom": 0.131, "sg": "Amm2, No. 38", "ef_kcal_per_mol_atoms": -4.09, "lattice": [[4.781, 0.000, 0.000], [0.000, 4.773, 0.000], [0.000, -2.387, 5.792]], "species": ["Mg", "Ac", "Ir", "Mg", "Mg"], "fractional_positions": [[0.500, 0.758, 0.516], [0.500, 0.039, 0.078], [0.500, 0.380, 0.760], [0.000, 0.267, 0.534], [0.000, 0.516, 0.031]]}



[20]
{"formula": "Ac2MgIr9", "functional": "PBE", "state": "optimized geometry", "total_energy_ev_per_atom": -7.6816, "sg": "R-3m, No. 166", "ef_kcal_per_mol_atoms": -5.03, "lattice": [[5.376, 0.000, 0.000], [2.688, 4.656, 0.000], [2.688, 1.552, 9.066]], "species": ["Ir", "Ac", "Ir", "Ir", "Mg", "Ac", "Ir", "Ir", "Ir", "Ir", "Ir", "Ir"], "fractional_positions": [[0.576, 0.576, 0.765], [0.138, 0.138, 0.587], [0.500, 0.500, 0.500], [0.668, 0.668, 0.995], [0.000, 0.000, 0.000], [0.862, 0.862, 0.413], [0.424, 0.917, 0.235], [0.917, 0.424, 0.235], [0.576, 0.083, 0.765], [0.424, 0.424, 0.235], [0.332, 0.332, 0.005], [0.083, 0.576, 0.765]]}



[21]
{"formula": "Ac6MgIr3", "functional": "PBE", "state": "optimized geometry", "total_energy_ev_per_atom": -5.7654, "sg": "P2_1/m, No. 11", "ef_kcal_per_mol_atoms": -11.13, "lattice": [[-0.813, 3.900, -1.968], [-5.553, -6.191, -9.976], [-9.081, 2.567, 8.837]], "species": ["Ir", "Ir", "Ac", "Ac", "Ac", "Ac", "Ir", "Ac", "Ac", "Ir", "Ir", "Mg", "Mg", "Ac", "Ac", "Ac", "Ac", "Ac", "Ir", "Ac"], "fractional_positions": [[0.750, 0.157, 0.072], [0.750, 0.455, 0.837], [0.750, 0.390, 0.050], [0.750, 0.163, 0.462], [0.750, 0.477, 0.612], [0.750, 0.932, 0.089], [0.750, 0.676, 0.498], [0.250, 0.610, 0.950], [0.750, 0.785, 0.771], [0.250, 0.843, 0.928], [0.250, 0.324, 0.502], [0.250, 0.947, 0.313], [0.750, 0.053, 0.687], [0.750, 0.698, 0.261], [0.250, 0.302, 0.739], [0.250, 0.837, 0.538], [0.250, 0.215, 0.229], [0.250, 0.523, 0.388], [0.250, 0.545, 0.163], [0.250, 0.068, 0.911]]}



[22]
{"formula": "Ac2MgIr2", "functional": "PBE", "state": "optimized geometry", "total_energy_ev_per_atom": -6.0334, "e_above_lowest_polymorph_ev_per_atom": 0.029, "sg": "C2/m, No. 12", "ef_kcal_per_mol_atoms": -12.15, "lattice": [[4.355, 0.000, 0.000], [2.177, 6.099, -0.455], [2.177, 0.171, 9.647]], "species": ["Mg", "Ac", "Mg", "Ac", "Ir", "Ac", "Ir", "Ac", "Ir", "Ir"], "fractional_positions": [[0.337, 0.939, 0.386], [0.328, 0.659, 0.685], [0.663, 0.061, 0.614], [0.074, 0.746, 0.106], [0.637, 0.832, 0.894], [0.926, 0.254, 0.894], [0.061, 0.315, 0.563], [0.672, 0.341, 0.315], [0.363, 0.168, 0.106], [0.939, 0.685, 0.437]]}



[23]
{"formula": "AcMgIr", "functional": "PBE", "state": "optimized geometry", "total_energy_ev_per_atom": -5.2296, "e_above_lowest_polymorph_ev_per_atom": 0.193, "sg": "F-43m, No. 216", "ef_kcal_per_mol_atoms": -8.65, "lattice": [[-1.325, 4.707, 0.244], [-3.842, 1.323, 2.731], [0.691, 2.527, 4.137]], "species": ["Mg", "Ir", "Ac"], "fractional_positions": [[0.500, 0.500, 0.500], [0.250, 0.250, 0.250], [0.000, 0.000, 0.000]]}



[24]
{"formula": "AcMgIr", "functional": "PBE", "state": "optimized geometry", "total_energy_ev_per_atom": -5.4228, "e_above_lowest_polymorph_ev_per_atom": 0.000, "sg": "P2_1/m, No. 11", "ef_kcal_per_mol_atoms": -13.10, "lattice": [[-1.952, 1.924, -3.341], [2.508, -5.526, -4.648], [-10.977, -6.958, 2.404]], "species": ["Ir", "Ac", "Mg", "Ac", "Ir", "Ac", "Ir", "Ir", "Mg", "Mg", "Ac", "Ac", "Mg", "Mg", "Mg", "Ir", "Ac", "Ir"], "fractional_positions": [[0.250, 0.741, 0.249], [0.750, 0.037, 0.286], [0.250, 0.868, 0.463], [0.250, 0.464, 0.623], [0.750, 0.239, 0.083], [0.750, 0.658, 0.084], [0.250, 0.761, 0.917], [0.250, 0.239, 0.418], [0.250, 0.360, 0.198], [0.750, 0.640, 0.802], [0.250, 0.963, 0.714], [0.750, 0.536, 0.377], [0.750, 0.996, 0.919], [0.750, 0.132, 0.537], [0.250, 0.004, 0.081], [0.750, 0.259, 0.751], [0.250, 0.342, 0.916], [0.750, 0.761, 0.582]]}